Density functional theory data (PBE) for a geometry-optimized NbPdSe2 structure.

```
NbPdSe2
1.0
0.000 3.271 3.271
3.271 0.000 3.271
3.271 3.271 0.000
Nb Se Pd
1 2 1
direct
0.000 0.000 0.000
0.250 0.250 0.250
0.750 0.750 0.750
0.500 0.500 0.500
```

SG: Fm-3m
Raw total energy in eV/atom: -5.769

---

Density functional theory data (PBE) for a geometry-optimized GdThMnGa structure.

```
GdThMnGa
1.0
-2.373 4.267 1.545
-1.954 0.275 4.726
2.192 3.023 3.506
Mn Gd Ga Th
1 1 1 1
direct
0.750 0.750 0.750
0.000 0.000 0.000
0.250 0.250 0.250
0.500 0.500 0.500
```

Energy of formation from the pure elements in eV per atom: -0.10
SG: F-43m
Raw total energy in eV/atom: -8.529

---

Density functional theory data (PBE) for a geometry-optimized Tl2GaHg2 structure.

```
Tl2GaHg2
1.0
-0.647 1.395 -8.076
4.722 -6.558 -1.512
-3.493 -2.480 -0.149
Tl Hg Ga
4 4 2
direct
0.348 0.848 0.000
0.848 0.652 0.000
0.652 0.152 0.000
0.152 0.348 0.000
0.152 0.652 0.500
0.652 0.848 0.500
0.848 0.348 0.500
0.348 0.152 0.500
0.000 0.000 0.000
0.500 0.500 0.000
```

Energy of formation from the pure elements in eV per atom: 0.12
SG: P4/mbm
Raw total energy in eV/atom: -1.549

---

Density functional theory data (PBE) for a geometry-optimized ErCuH8Rh4 structure.

```
ErCuH8Rh4
1.0
-0.285 -2.598 5.088
-4.444 -3.382 1.239
0.588 -5.437 0.472
Er Cu H Rh
1 1 8 4
direct
0.394 0.394 0.819
0.995 0.995 0.015
0.220 0.851 0.709
0.851 0.220 0.709
0.220 0.220 0.709
0.228 0.228 0.315
0.714 0.257 0.315
0.257 0.714 0.315
0.714 0.714 0.315
0.768 0.768 0.696
0.633 0.633 0.100
0.002 0.503 0.494
0.503 0.002 0.494
0.002 0.002 0.494
```

SG: R3m
Raw total energy in eV/atom: -4.825

---

Density functional theory data (PBE) for a geometry-optimized Ho2Mg3Cd2 structure.

```
Ho2Mg3Cd2
1.0
-0.064 -0.810 5.066
-4.240 -0.821 -2.783
4.947 -6.279 -0.941
Ho Mg Cd
2 3 2
direct
0.921 0.841 0.265
0.079 0.159 0.735
0.500 0.000 0.000
0.652 0.303 0.456
0.348 0.697 0.544
0.786 0.572 0.853
0.214 0.428 0.147
```

Energy of formation from the pure elements in eV per atom: -0.18
SG: C2/m
Raw total energy in eV/atom: -2.438

---

Density functional theory data (PBE) for a geometry-optimized TiMnTe3 structure.

```
TiMnTe3
1.0
-2.360 6.339 1.352
-6.496 0.875 2.151
-1.088 1.846 7.033
Ti Mn Te
2 2 6
direct
0.330 0.330 0.011
0.670 0.670 0.989
0.833 0.833 0.502
0.167 0.167 0.498
0.751 0.415 0.748
0.086 0.751 0.748
0.416 0.086 0.748
0.249 0.585 0.252
0.914 0.249 0.252
0.584 0.914 0.252
```

SG: R-3
Raw total energy in eV/atom: -5.727

---

Density functional theory data (PBE) for a geometry-optimized FeCoRu structure.

```
FeCoRu
1.0
-3.169 -3.083 3.603
0.326 -4.194 3.851
1.721 4.878 -2.403
Co Fe Ru
1 1 1
direct
0.998 0.998 0.000
0.339 0.339 0.000
0.663 0.663 0.000
```

Energy of formation from the pure elements in eV per atom: 0.15
SG: I4mm
Raw total energy in eV/atom: -8.128

---

Density functional theory data (PBE) for a geometry-optimized Tl2CrFe structure.

```
Tl2CrFe
1.0
3.663 0.000 0.000
0.000 3.298 0.005
0.000 3.287 6.317
Cr Fe Tl
1 1 2
direct
0.500 0.250 0.250
0.500 0.750 0.750
0.000 0.007 0.993
0.000 0.493 0.507
```

Energy of formation from the pure elements in eV per atom: 0.69
SG: Pmmm
Raw total energy in eV/atom: -5.017

---

Density functional theory data (PBE) for a geometry-optimized Li2Dy3Pt6 structure.

```
Li2Dy3Pt6
1.0
7.732 0.000 -2.734
-3.866 6.696 -2.734
0.000 0.000 8.201
Li Dy Pt
4 6 12
direct
0.000 0.500 0.000
0.500 0.000 0.000
0.000 0.000 0.500
0.500 0.500 0.500
0.696 0.000 0.696
0.304 0.000 0.304
0.000 0.304 0.304
0.000 0.696 0.696
0.304 0.304 0.000
0.696 0.696 0.000
0.666 0.333 0.666
0.666 0.000 0.334
0.334 0.000 0.666
0.334 0.667 0.334
0.000 0.666 0.334
0.667 0.334 0.334
0.333 0.666 0.666
0.000 0.334 0.666
0.334 0.666 0.000
0.666 0.666 0.333
0.334 0.334 0.667
0.666 0.334 0.000
```

Energy of formation from the pure elements in eV per atom: -0.95
SG: Im-3m
Raw total energy in eV/atom: -5.850

---

Density functional theory data (PBE) for a geometry-optimized TbPRh3 structure.

```
TbPRh3
1.0
4.455 0.000 0.000
0.000 4.455 0.000
0.000 0.000 4.455
Rh Tb P
3 1 1
direct
0.000 0.500 0.000
0.000 0.000 0.500
0.500 0.000 0.000
0.500 0.500 0.500
0.000 0.000 0.000
```

Energy of formation from the pure elements in eV per atom: -0.70
SG: Pm-3m
Raw total energy in eV/atom: -7.120

---

Density functional theory data (PBE) for a geometry-optimized KSnRu2N structure.

```
KSnRu2N
1.0
4.131 0.000 0.000
0.000 5.292 0.000
0.000 0.000 4.131
Ru K Sn N
2 1 1 1
direct
0.000 0.000 0.500
0.500 0.000 0.000
0.500 0.500 0.500
0.000 0.500 0.000
0.000 0.000 0.000
```

SG: P4/mmm
Raw total energy in eV/atom: -5.638

---

Density functional theory data (PBE) for a geometry-optimized Ac12Ga5Pt3 structure.

```
Ac12Ga5Pt3
1.0
15.867 0.000 0.000
-5.289 14.960 0.000
-5.289 -7.480 12.956
Pt Ga Ac
12 20 48
direct
0.750 0.375 0.125
0.875 0.750 0.125
0.375 0.750 0.625
0.250 0.125 0.375
0.875 0.125 0.250
0.375 0.625 0.250
0.625 0.375 0.750
0.125 0.875 0.750
0.750 0.875 0.625
0.625 0.250 0.375
0.125 0.250 0.875
0.250 0.625 0.875
0.125 0.375 0.250
0.000 0.500 0.000
0.000 0.000 0.000
0.375 0.250 0.125
0.500 0.000 0.500
0.500 0.500 0.000
0.125 0.750 0.375
0.750 0.125 0.875
0.750 0.625 0.375
0.375 0.125 0.750
0.625 0.875 0.250
0.500 0.500 0.500
0.500 0.000 0.000
0.000 0.000 0.500
0.250 0.375 0.625
0.250 0.875 0.125
0.000 0.500 0.500
0.875 0.250 0.625
0.625 0.750 0.875
0.875 0.625 0.750
0.727 0.130 0.056
0.329 0.556 0.426
0.944 0.370 0.273
0.556 0.227 0.130
0.596 0.727 0.671
0.944 0.574 0.171
0.329 0.773 0.404
0.074 0.904 0.130
0.574 0.944 0.671
0.727 0.596 0.171
0.773 0.444 0.370
0.829 0.926 0.056
0.130 0.727 0.556
0.370 0.426 0.096
0.096 0.926 0.370
0.404 0.130 0.574
0.096 0.171 0.227
0.444 0.671 0.074
0.829 0.904 0.273
0.130 0.404 0.074
0.370 0.944 0.773
0.574 0.630 0.404
0.926 0.829 0.556
0.773 0.329 0.904
0.426 0.370 0.596
0.074 0.171 0.444
0.227 0.671 0.096
0.171 0.096 0.727
0.630 0.056 0.227
0.870 0.596 0.926
0.556 0.329 0.926
0.596 0.870 0.426
0.904 0.829 0.773
0.904 0.074 0.630
0.870 0.273 0.444
0.171 0.074 0.944
0.630 0.574 0.904
0.426 0.056 0.329
0.273 0.404 0.829
0.227 0.556 0.630
0.926 0.096 0.870
0.671 0.227 0.596
0.444 0.773 0.870
0.056 0.426 0.829
0.404 0.273 0.329
0.056 0.630 0.727
0.671 0.444 0.574
0.273 0.870 0.944
```

Energy of formation from the pure elements in eV per atom: -0.16
SG: Ia-3d
Raw total energy in eV/atom: -4.285

---

Density functional theory data (PBE) for a geometry-optimized PrNdThSc structure.

```
PrNdThSc
1.0
3.460 0.000 -0.006
0.000 5.364 0.000
-1.724 0.000 6.772
Pr Nd Th Sc
1 1 1 1
direct
0.749 0.500 0.431
0.613 0.000 0.153
0.985 0.500 0.900
0.361 0.000 0.655
```

Energy of formation from the pure elements in eV per atom: 0.10
SG: Pm
Raw total energy in eV/atom: -5.728

---

Density functional theory data (PBE) for a geometry-optimized HfNi2RuS structure.

```
HfNi2RuS
1.0
-2.083 3.643 1.829
-2.051 0.902 -4.133
-3.554 -2.629 1.190
Ru S Hf Ni
1 1 1 2
direct
0.500 0.500 0.500
0.000 0.500 0.000
0.000 0.000 0.000
0.000 0.000 0.500
0.500 0.000 0.000
```

SG: P4/mmm
Raw total energy in eV/atom: -5.861

---

Density functional theory data (PBE) for a geometry-optimized NaLaMgRu2 structure.

```
NaLaMgRu2
1.0
4.788 0.000 0.000
0.000 5.420 0.000
0.000 0.000 4.788
Ru Mg Na La
2 1 1 1
direct
0.000 0.000 0.500
0.500 0.000 0.000
0.000 0.000 0.000
0.500 0.500 0.500
0.000 0.500 0.000
```

Energy of formation from the pure elements in eV per atom: 1.18
SG: P4/mmm
Raw total energy in eV/atom: -4.096

---

Density functional theory data (PBE) for a geometry-optimized K2HfAsS5 structure.

```
K2HfAsS5
1.0
4.044 0.000 0.000
-2.022 9.249 0.000
0.000 0.000 13.374
K Hf As S
4 2 2 10
direct
0.874 0.747 0.829
0.127 0.253 0.678
0.126 0.253 0.329
0.873 0.747 0.178
0.793 0.587 0.537
0.207 0.413 0.037
0.564 0.128 0.927
0.436 0.872 0.427
0.330 0.660 0.004
0.685 0.371 0.898
0.509 0.018 0.786
0.306 0.612 0.651
0.946 0.892 0.515
0.670 0.340 0.504
0.315 0.629 0.398
0.491 0.982 0.286
0.694 0.388 0.151
0.054 0.108 0.015
```

SG: Cmc2_1
Raw total energy in eV/atom: -5.154

---

Density functional theory data (PBE) for a geometry-optimized VCr2Fe2 structure.

```
VCr2Fe2
1.0
-0.088 6.489 1.692
-5.059 1.047 -4.276
-1.707 -0.517 1.893
Cr Fe V
4 4 2
direct
0.165 0.665 0.500
0.665 0.835 0.500
0.835 0.335 0.500
0.335 0.165 0.500
0.366 0.866 0.000
0.866 0.634 0.000
0.634 0.134 0.000
0.134 0.366 0.000
0.000 0.000 0.000
0.500 0.500 0.000
```

Energy of formation from the pure elements in eV per atom: 0.17
SG: P4/mbm
Raw total energy in eV/atom: -8.890

---

Density functional theory data (PBE) for a geometry-optimized Y4Cu2Ir structure.

```
Y4Cu2Ir
1.0
4.673 0.000 1.460
2.109 4.171 1.460
-0.067 -0.041 8.423
Y Ir Cu
4 1 2
direct
0.877 0.877 0.370
0.123 0.123 0.630
0.625 0.625 0.124
0.375 0.375 0.876
0.000 0.000 0.000
0.750 0.750 0.749
0.250 0.250 0.251
```

Energy of formation from the pure elements in eV per atom: -0.33
SG: R-3m
Raw total energy in eV/atom: -6.462

---

Density functional theory data (PBE) for a geometry-optimized K2CaW structure.

```
K2CaW
1.0
7.185 -0.002 0.000
3.850 6.067 0.000
-5.517 -3.032 3.463
Ca K W
1 2 1
direct
0.750 0.250 0.500
0.000 0.000 0.000
0.500 0.500 0.000
0.250 0.750 0.500
```

Energy of formation from the pure elements in eV per atom: 1.42
SG: I4/mmm
Raw total energy in eV/atom: -2.867

---

Density functional theory data (PBE) for a geometry-optimized CeTl2SnBr8 structure.

```
CeTl2SnBr8
1.0
-1.270 -6.697 -3.557
6.813 -0.084 -1.803
1.954 -4.398 7.586
Ce Tl Sn Br
1 2 1 8
direct
0.000 0.000 0.000
0.500 0.500 0.742
0.500 0.500 0.258
0.000 0.000 0.500
0.129 0.773 0.235
0.690 0.790 0.000
0.871 0.226 0.235
0.871 0.227 0.765
0.310 0.210 0.000
0.129 0.774 0.765
0.685 0.761 0.500
0.315 0.239 0.500
```

SG: P2/m
Raw total energy in eV/atom: -3.469

---

Density functional theory data (PBE) for a geometry-optimized Hf2CuHRu structure.

```
Hf2CuHRu
1.0
4.492 0.000 0.000
0.000 4.492 0.000
0.000 0.000 3.553
Ru Hf Cu H
1 2 1 1
direct
0.000 0.000 0.500
0.000 0.500 0.000
0.500 0.000 0.000
0.500 0.500 0.500
0.000 0.000 0.000
```

SG: P4/mmm
Raw total energy in eV/atom: -7.616